[1]
Entry from Alexandria: an optimized crystal structure of In2SnBiIr (PBE).

a b c (Å): 5.1531 5.1531 5.4884
angles (deg): 90.00 90.00 90.00
With the nearest neighbours (Å) after each atom.
Space group P4/mmm (No. 123)
Inequivalent atoms, fractional coordinates:
In: 0.0000 0.5000 0.0000 (multiplicity 2)  2 Ir 2.58
Sn: 0.0000 0.0000 0.5000 (multiplicity 1)  4 Bi 3.64, 8 In 3.76
Bi: 0.5000 0.5000 0.5000 (multiplicity 1)  2 Ir 2.74
Ir: 0.5000 0.5000 0.0000 (multiplicity 1)  4 In 2.58, 2 Bi 2.74

Calculated values
**Crystal system**: tetragonal
**Energy of formation**: 0.195 eV per atom
**Mass density**: 8.54 g cm⁻³
**Energy above the lowest structure with this stoichiometry**: 143 meV/atom
**Spin magnetization**: 0.000 μB/f.u.



[2]
Entry from Alexandria: an optimized crystal structure of BaGe3C (PBE).

a b c (Å): 4.7483 4.7483 4.7483
angles (deg): 90.00 90.00 90.00
With the nearest neighbours (Å) after each atom.
Space group Pm-3m (No. 221)
Inequivalent atoms, fractional coordinates:
Ba: 0.0000 0.0000 0.0000 (multiplicity 1)  12 Ge 3.36
Ge: 0.0000 0.5000 0.5000 (multiplicity 3)  2 C 2.37
C: 0.5000 0.5000 0.5000 (multiplicity 1)  6 Ge 2.37

Calculated values
**Crystal system**: cubic
**Energy of formation**: 0.713 eV per atom
**Mass density**: 5.70 g cm⁻³
**Energy above the lowest structure with this stoichiometry**: 0 meV/atom
**Spin magnetization**: 0.000 μB/f.u.



[3]
Entry from Alexandria: an optimized crystal structure of BeTePt (PBE).

a b c (Å): 7.3311 4.3012 8.2466
angles (deg): 90.00 114.81 90.00
With the nearest neighbours (Å) after each atom.
Space group C2/m (No. 12)
Inequivalent atoms, fractional coordinates:
Be: 0.0000 0.2447 0.0000 (multiplicity 4)  2 Be 2.11-2.20, 2 Pt 2.28
Te: 0.2314 0.5000 0.3093 (multiplicity 4)  2 Be 2.64, 3 Pt 2.79-2.85
Pt: 0.1961 0.5000 0.8720 (multiplicity 4)  4 Be 2.28-2.38

Calculated values
**Crystal system**: monoclinic
**Formation energy (no corrections)**: -410 meV per atom
**Mass density**: 9.33 g cm⁻³
**Spin magnetization**: 0.000 μB/f.u.



[4]
Entry from Alexandria: an optimized crystal structure of Na2PaCuTe4 (PBE).

a b c (Å): 7.5495 4.2820 7.8995
angles (deg): 90.00 109.26 90.00
With the nearest neighbours (Å) after each atom.
Space group P2/m (No. 10)
Inequivalent atoms, fractional coordinates:
Na: 0.0000 0.0000 0.0000 (multiplicity 1)  6 Te 3.13-3.40
Na: 0.5000 0.5000 0.0000 (multiplicity 1)  6 Te 3.16-3.33
Pa: 0.0000 0.5000 0.5000 (multiplicity 1)  6 Te 3.02-3.03
Cu: 0.5000 0.0000 0.5000 (multiplicity 1)  4 Te 2.82
Te: 0.2380 0.0000 0.7420 (multiplicity 2)  2 Pa 3.03, 3 Na 3.13-3.16, 1 Cu 3.17
Te: 0.2834 0.5000 0.3055 (multiplicity 2)  2 Cu 2.82, 1 Pa 3.02

Calculated values
**Crystal system**: monoclinic
**Formation energy (no corrections)**: -647 meV per atom
**Mass density**: 5.86 g cm⁻³
**Spin magnetization**: 0.216 μB/f.u.